[1]
DFT (PBE) results for Er2In2PtC3 after structural relaxation. Values from VASP.

Properties
ρ in Mg/m³: 9.2
Total energy in eV/cell: -46.77

Cell and atoms, written as Quantum ESPRESSO input:
```
&SYSTEM
  ibrav = 0, nat = 8, ntyp = 4
/
ATOMIC_SPECIES
Er 167.26 Er.upf
C 12.01 C.upf
Pt 195.08 Pt.upf
In 114.82 In.upf
ATOMIC_POSITIONS crystal
Er 0.333 0.667 0.716
Er 0.000 0.000 0.253
C 0.333 0.667 0.196
C 0.000 0.000 0.631
C 0.333 0.667 0.329
Pt 0.000 0.000 0.867
In 0.667 0.333 0.500
In 0.667 0.333 0.008
CELL_PARAMETERS angstrom
-2.395 2.625 -1.898
0.573 -3.680 -1.536
-8.028 -3.473 5.325
```

---

[2]
DFT (PBE) results for InAsOsO after structural relaxation. Values from VASP.

Properties
ρ in Mg/m³: 9.5
Relative energy among the computed polymorphs in meV per atom: 913
Total energy in eV/cell: -42.75

Cell and atoms, written as Quantum ESPRESSO input:
```
&SYSTEM
  ibrav = 0, nat = 8, ntyp = 4
/
ATOMIC_SPECIES
O 16.00 O.upf
Os 190.23 Os.upf
In 114.82 In.upf
As 74.92 As.upf
ATOMIC_POSITIONS crystal
O 0.750 0.250 0.000
O 0.250 0.750 0.000
Os 0.250 0.250 0.084
Os 0.750 0.750 0.916
In 0.250 0.750 0.500
In 0.750 0.250 0.500
As 0.250 0.250 0.784
As 0.750 0.750 0.216
CELL_PARAMETERS angstrom
-3.215 2.485 -0.553
-2.318 -2.490 2.289
2.113 4.237 6.748
```

---

[3]
DFT (PBE) results for NdHoFe2Ge4 after structural relaxation. Values from VASP.

Properties
ρ in Mg/m³: 8.0
Total energy in eV/cell: -48.24

Cell and atoms, written as Quantum ESPRESSO input:
```
&SYSTEM
  ibrav = 0, nat = 8, ntyp = 4
/
ATOMIC_SPECIES
Ge 72.64 Ge.upf
Fe 55.84 Fe.upf
Ho 164.93 Ho.upf
Nd 144.24 Nd.upf
ATOMIC_POSITIONS crystal
Ge 0.000 0.956 0.956
Ge 0.500 0.749 0.749
Ge 0.500 0.046 0.046
Ge 0.000 0.248 0.248
Fe 0.000 0.818 0.818
Fe 0.500 0.181 0.181
Ho 0.000 0.610 0.610
Nd 0.500 0.392 0.392
CELL_PARAMETERS angstrom
4.204 0.000 0.000
0.000 2.099 8.352
0.000 -2.099 8.352
```

---

[4]
DFT (PBE) results for BeCoNiB after structural relaxation. Values from VASP.

Properties
ρ in Mg/m³: 7.0
Relative energy among the computed polymorphs in meV per atom: 0
Total energy in eV/cell: -24.29

Cell and atoms, written as Quantum ESPRESSO input:
```
&SYSTEM
  ibrav = 0, nat = 4, ntyp = 4
/
ATOMIC_SPECIES
Co 58.93 Co.upf
B 10.81 B.upf
Be 9.01 Be.upf
Ni 58.69 Ni.upf
ATOMIC_POSITIONS crystal
Co 0.250 0.250 0.250
B 0.000 0.000 0.000
Be 0.500 0.500 0.500
Ni 0.750 0.750 0.750
CELL_PARAMETERS angstrom
0.000 2.535 2.535
2.535 0.000 2.535
2.535 2.535 0.000
```

---

[5]
DFT (PBE) results for PaIrAu after structural relaxation. Values from VASP.

Properties
ρ in Mg/m³: 14.8
Relative energy among the computed polymorphs in meV per atom: 0
Total energy in eV/cell: -22.72
ΔH_f (0 K) in kcal/mol of atoms: -8.48

Cell and atoms, written as Quantum ESPRESSO input:
```
&SYSTEM
  ibrav = 0, nat = 3, ntyp = 3
/
ATOMIC_SPECIES
Ir 192.22 Ir.upf
Pa 231.04 Pa.upf
Au 196.97 Au.upf
ATOMIC_POSITIONS crystal
Ir 0.000 0.000 0.000
Pa 0.250 0.250 0.250
Au 0.750 0.750 0.750
CELL_PARAMETERS angstrom
-1.659 -2.810 3.262
2.775 -3.087 2.014
1.273 0.566 4.399
```

---

[6]
DFT (PBE) results for YEr after structural relaxation. Values from VASP.

Properties
ρ in Mg/m³: 5.2
Relative energy among the computed polymorphs in meV per atom: 1980
Total energy in eV/cell: -7.06
ΔH_f (0 K) in kcal/mol of atoms: 45.72

Cell and atoms, written as Quantum ESPRESSO input:
```
&SYSTEM
  ibrav = 0, nat = 2, ntyp = 2
/
ATOMIC_SPECIES
Er 167.26 Er.upf
Y 88.91 Y.upf
ATOMIC_POSITIONS crystal
Er 0.000 0.000 0.000
Y 0.250 0.250 0.250
CELL_PARAMETERS angstrom
-3.016 2.225 3.108
-3.064 3.424 -1.611
-4.781 -0.901 -0.180
```

---

[7]
DFT (PBE) results for Nd4Br9 after structural relaxation. Values from VASP.

Properties
ρ in Mg/m³: 5.5
Total energy in eV/cell: -219.39

Cell and atoms, written as Quantum ESPRESSO input:
```
&SYSTEM
  ibrav = 0, nat = 52, ntyp = 2
/
ATOMIC_SPECIES
Br 79.90 Br.upf
Nd 144.24 Nd.upf
ATOMIC_POSITIONS crystal
Br 0.656 0.203 0.883
Br 0.329 0.601 0.174
Br 0.891 0.009 0.252
Br 0.020 0.371 0.182
Br 0.391 0.009 0.234
Br 0.656 0.703 0.117
Br 0.607 0.491 0.245
Br 0.829 0.296 0.630
Br 0.518 0.871 0.664
Br 0.518 0.371 0.336
Br 0.490 0.250 0.323
Br 0.337 0.796 0.118
Br 0.158 0.899 0.318
Br 0.966 0.130 0.169
Br 0.329 0.101 0.826
Br 0.476 0.129 0.325
Br 0.020 0.871 0.818
Br 0.158 0.399 0.682
Br 0.891 0.509 0.748
Br 0.476 0.629 0.675
Br 0.106 0.491 0.277
Br 0.833 0.101 0.665
Br 0.659 0.399 0.840
Br 0.337 0.296 0.882
Br 0.998 0.250 0.189
Br 0.152 0.205 0.630
Br 0.833 0.601 0.335
Br 0.659 0.899 0.160
Br 0.391 0.509 0.766
Br 0.152 0.705 0.370
Br 0.966 0.630 0.831
Br 0.607 0.991 0.755
Br 0.490 0.750 0.677
Br 0.998 0.750 0.811
Br 0.829 0.796 0.370
Br 0.106 0.991 0.723
Nd 0.697 0.307 0.032
Nd 0.339 0.930 0.957
Nd 0.339 0.430 0.043
Nd 0.293 0.192 0.025
Nd 0.793 0.694 0.519
Nd 0.192 0.808 0.511
Nd 0.154 0.072 0.456
Nd 0.651 0.070 0.025
Nd 0.192 0.308 0.489
Nd 0.293 0.692 0.975
Nd 0.651 0.570 0.975
Nd 0.839 0.929 0.523
Nd 0.793 0.194 0.481
Nd 0.154 0.572 0.544
Nd 0.839 0.429 0.477
Nd 0.697 0.807 0.968
CELL_PARAMETERS angstrom
7.638 0.058 0.000
-0.713 29.144 0.000
0.000 0.000 7.050
```

---

[8]
DFT (PBE) results for TbSbN2O after structural relaxation. Values from VASP.

Properties
ρ in Mg/m³: 8.5
Total energy in eV/cell: -69.94

Cell and atoms, written as Quantum ESPRESSO input:
```
&SYSTEM
  ibrav = 0, nat = 10, ntyp = 4
/
ATOMIC_SPECIES
N 14.01 N.upf
Sb 121.76 Sb.upf
Tb 158.93 Tb.upf
O 16.00 O.upf
ATOMIC_POSITIONS crystal
N 0.216 0.896 0.183
N 0.713 0.033 0.817
N 0.713 0.396 0.180
N 0.216 0.533 0.820
Sb 0.715 0.715 0.000
Sb 0.715 0.215 0.500
Tb 0.181 0.461 0.220
Tb 0.241 0.961 0.780
O 0.841 0.976 0.365
O 0.611 0.476 0.635
CELL_PARAMETERS angstrom
-4.053 2.796 2.814
4.053 -2.796 2.814
4.053 2.796 -2.814
```

---

[9]
DFT (PBE) results for Hf2Sn3Mo4C3 after structural relaxation. Values from VASP.

Properties
ρ in Mg/m³: 10.0
Total energy in eV/cell: -212.37

Cell and atoms, written as Quantum ESPRESSO input:
```
&SYSTEM
  ibrav = 0, nat = 24, ntyp = 4
/
ATOMIC_SPECIES
Mo 95.94 Mo.upf
C 12.01 C.upf
Sn 118.71 Sn.upf
Hf 178.49 Hf.upf
ATOMIC_POSITIONS crystal
Mo 0.691 0.861 0.422
Mo 0.974 0.808 0.577
Mo 0.192 0.026 0.923
Mo 0.861 0.691 0.922
Mo 0.139 0.309 0.078
Mo 0.309 0.139 0.578
Mo 0.026 0.192 0.423
Mo 0.808 0.974 0.077
C 0.500 0.000 0.000
C 0.667 0.167 0.500
C 0.333 0.833 0.500
C 0.000 0.500 0.500
C 0.167 0.667 0.000
C 0.833 0.333 0.000
Sn 0.052 0.948 0.250
Sn 0.416 0.220 0.249
Sn 0.780 0.584 0.251
Sn 0.220 0.416 0.749
Sn 0.584 0.780 0.751
Sn 0.948 0.052 0.750
Hf 0.529 0.362 0.909
Hf 0.362 0.529 0.409
Hf 0.471 0.638 0.091
Hf 0.638 0.471 0.591
CELL_PARAMETERS angstrom
-2.395 -1.858 -4.734
3.202 -1.291 -4.436
1.333 -13.966 1.513
```

---

[10]
DFT (PBE) results for CsZrAuSe3 after structural relaxation. Values from VASP.

Properties
ρ in Mg/m³: 6.3
Relative energy among the computed polymorphs in meV per atom: 0
Total energy in eV/cell: -58.85

Cell and atoms, written as Quantum ESPRESSO input:
```
&SYSTEM
  ibrav = 0, nat = 12, ntyp = 4
/
ATOMIC_SPECIES
Zr 91.22 Zr.upf
Cs 132.91 Cs.upf
Se 78.96 Se.upf
Au 196.97 Au.upf
ATOMIC_POSITIONS crystal
Zr 0.808 0.750 0.836
Zr 0.192 0.250 0.164
Cs 0.248 0.750 0.722
Cs 0.752 0.250 0.278
Se 0.617 0.250 0.867
Se 0.966 0.750 0.127
Se 0.759 0.750 0.569
Se 0.034 0.250 0.873
Se 0.241 0.250 0.431
Se 0.383 0.750 0.133
Au 0.576 0.250 0.611
Au 0.424 0.750 0.389
CELL_PARAMETERS angstrom
-4.926 4.900 -5.786
-3.316 -1.870 1.240
1.157 4.291 9.569
```

---

[11]
DFT (PBE) results for PmAlPd after structural relaxation. Values from VASP.

Properties
ρ in Mg/m³: 5.9
Relative energy among the computed polymorphs in meV per atom: 919
Total energy in eV/cell: -13.41

Cell and atoms, written as Quantum ESPRESSO input:
```
&SYSTEM
  ibrav = 0, nat = 3, ntyp = 3
/
ATOMIC_SPECIES
Al 26.98 Al.upf
Pm 145.00 Pm.upf
Pd 106.42 Pd.upf
ATOMIC_POSITIONS crystal
Al 0.250 0.250 0.250
Pm 0.000 0.000 0.000
Pd 0.750 0.750 0.750
CELL_PARAMETERS angstrom
0.000 3.387 3.387
3.387 0.000 3.387
3.387 3.387 0.000
```

---

[12]
DFT (PBE) results for DyAgNO after structural relaxation. Values from VASP.

Properties
ρ in Mg/m³: 9.2
Relative energy among the computed polymorphs in meV per atom: 91
Total energy in eV/cell: -50.07

Cell and atoms, written as Quantum ESPRESSO input:
```
&SYSTEM
  ibrav = 0, nat = 8, ntyp = 4
/
ATOMIC_SPECIES
N 14.01 N.upf
Ag 107.87 Ag.upf
O 16.00 O.upf
Dy 162.50 Dy.upf
ATOMIC_POSITIONS crystal
N 0.000 0.438 0.750
N 0.000 0.938 0.250
Ag 0.500 0.439 0.751
Ag 0.500 0.939 0.249
O 0.500 0.438 0.251
O 0.500 0.938 0.749
Dy 0.000 0.939 0.750
Dy 0.000 0.439 0.250
CELL_PARAMETERS angstrom
-2.254 -3.904 0.000
0.000 0.000 4.898
-4.261 2.460 0.000
```

---

[13]
DFT (PBE) results for LiSc2Al2Cu2Pt after structural relaxation. Values from VASP.

Properties
ρ in Mg/m³: 6.3
Total energy in eV/cell: -39.99

Cell and atoms, written as Quantum ESPRESSO input:
```
&SYSTEM
  ibrav = 0, nat = 8, ntyp = 5
/
ATOMIC_SPECIES
Cu 63.55 Cu.upf
Li 6.94 Li.upf
Pt 195.08 Pt.upf
Sc 44.96 Sc.upf
Al 26.98 Al.upf
ATOMIC_POSITIONS crystal
Cu 0.000 0.000 0.500
Cu 0.500 0.500 0.000
Li 0.000 0.000 0.000
Pt 0.500 0.500 0.500
Sc 0.500 0.000 0.250
Sc 0.000 0.500 0.750
Al 0.500 0.000 0.750
Al 0.000 0.500 0.250
CELL_PARAMETERS angstrom
4.442 0.000 0.000
0.000 4.442 0.000
0.000 0.000 6.290
```

---

[14]
DFT (PBE) results for SmW after structural relaxation. Values from VASP.

Properties
ρ in Mg/m³: 12.9
Relative energy among the computed polymorphs in meV per atom: 0
Total energy in eV/cell: -15.75
ΔH_f (0 K) in kcal/mol of atoms: 22.21

Cell and atoms, written as Quantum ESPRESSO input:
```
&SYSTEM
  ibrav = 0, nat = 2, ntyp = 2
/
ATOMIC_SPECIES
W 183.84 W.upf
Sm 150.36 Sm.upf
ATOMIC_POSITIONS crystal
W 0.333 0.667 0.250
Sm 0.667 0.333 0.750
CELL_PARAMETERS angstrom
2.995 0.000 0.000
-1.498 2.594 0.000
0.000 0.000 5.548
```

---

[15]
DFT (PBE) results for YZrBe2Si2 after structural relaxation. Values from VASP.

Properties
ρ in Mg/m³: 4.4
Total energy in eV/cell: -37.56

Cell and atoms, written as Quantum ESPRESSO input:
```
&SYSTEM
  ibrav = 0, nat = 6, ntyp = 4
/
ATOMIC_SPECIES
Be 9.01 Be.upf
Y 88.91 Y.upf
Si 28.09 Si.upf
Zr 91.22 Zr.upf
ATOMIC_POSITIONS crystal
Be 0.333 0.667 0.729
Be 0.667 0.333 0.271
Y 0.000 0.000 0.000
Si 0.667 0.333 0.737
Si 0.333 0.667 0.263
Zr 0.000 0.000 0.500
CELL_PARAMETERS angstrom
-1.977 -0.082 3.231
1.102 -3.238 -1.628
6.557 0.212 4.017
```

---

[16]
DFT (PBE) results for SnPt124 after structural relaxation. Values from VASP.

Properties
ρ in Mg/m³: 20.7
Total energy in eV/cell: -756.40

Cell and atoms, written as Quantum ESPRESSO input:
```
&SYSTEM
  ibrav = 0, nat = 125, ntyp = 2
/
ATOMIC_SPECIES
Pt 195.08 Pt.upf
Sn 118.71 Sn.upf
ATOMIC_POSITIONS crystal
Pt 0.400 0.000 0.400
Pt 0.000 0.401 0.000
Pt 0.200 0.400 0.200
Pt 0.400 0.800 0.400
Pt 0.200 0.000 0.400
Pt 0.600 0.600 0.000
Pt 0.799 0.000 0.201
Pt 0.600 0.400 0.400
Pt 0.400 0.200 0.600
Pt 0.800 0.600 0.000
Pt 0.400 0.800 0.000
Pt 0.000 0.000 0.201
Pt 0.000 0.600 0.800
Pt 0.600 0.600 0.200
Pt 0.400 0.400 0.800
Pt 0.800 0.200 0.800
Pt 0.599 0.000 0.401
Pt 0.800 0.200 0.400
Pt 0.000 0.200 0.600
Pt 0.200 0.200 0.200
Pt 0.000 0.800 0.600
Pt 0.599 0.401 0.000
Pt 0.200 0.800 0.200
Pt 0.600 0.400 0.600
Pt 0.000 0.201 0.799
Pt 0.401 0.000 0.599
Pt 0.000 0.400 0.400
Pt 0.000 0.401 0.599
Pt 0.200 0.800 0.600
Pt 0.800 0.000 0.600
Pt 0.200 0.200 0.800
Pt 0.000 0.200 0.200
Pt 0.000 0.799 0.000
Pt 0.200 0.800 0.800
Pt 0.400 0.400 0.000
Pt 0.799 0.000 0.000
Pt 0.600 0.800 0.200
Pt 0.200 0.400 0.800
Pt 0.800 0.200 0.600
Pt 0.800 0.800 0.800
Pt 0.799 0.201 0.000
Pt 0.000 0.201 0.000
Pt 0.600 0.400 0.200
Pt 0.400 0.400 0.400
Pt 0.401 0.000 0.000
Pt 0.000 0.799 0.201
Pt 0.800 0.800 0.200
Pt 0.200 0.200 0.400
Pt 0.200 0.200 0.000
Pt 0.800 0.800 0.000
Pt 0.600 0.200 0.600
Pt 0.400 0.800 0.800
Pt 0.599 0.000 0.000
Pt 0.400 0.000 0.200
Pt 0.400 0.200 0.400
Pt 0.800 0.800 0.600
Pt 0.400 0.600 0.800
Pt 0.401 0.599 0.000
Pt 0.600 0.600 0.400
Pt 0.200 0.600 0.400
Pt 0.400 0.800 0.200
Pt 0.000 0.200 0.400
Pt 0.400 0.200 0.200
Pt 0.200 0.400 0.400
Pt 0.200 0.800 0.400
Pt 0.600 0.800 0.800
Pt 0.800 0.000 0.400
Pt 0.600 0.200 0.400
Pt 0.800 0.400 0.600
Pt 0.000 0.400 0.200
Pt 0.200 0.400 0.000
Pt 0.200 0.600 0.200
Pt 0.600 0.600 0.800
Pt 0.600 0.200 0.000
Pt 0.400 0.600 0.600
Pt 0.400 0.200 0.000
Pt 0.200 0.600 0.600
Pt 0.600 0.600 0.600
Pt 0.600 0.800 0.000
Pt 0.600 0.800 0.400
Pt 0.600 0.000 0.800
Pt 0.400 0.600 0.400
Pt 0.200 0.600 0.800
Pt 0.200 0.200 0.600
Pt 0.201 0.000 0.799
Pt 0.800 0.600 0.800
Pt 0.400 0.000 0.800
Pt 0.800 0.600 0.200
Pt 0.800 0.400 0.000
Pt 0.201 0.000 0.000
Pt 0.000 0.599 0.401
Pt 0.000 0.000 0.799
Pt 0.000 0.800 0.800
Pt 0.800 0.600 0.400
Pt 0.400 0.400 0.600
Pt 0.600 0.000 0.600
Pt 0.000 0.000 0.599
Pt 0.600 0.400 0.800
Pt 0.800 0.000 0.800
Pt 0.200 0.000 0.600
Pt 0.600 0.200 0.200
Pt 0.400 0.800 0.600
Pt 0.600 0.000 0.200
Pt 0.400 0.200 0.800
Pt 0.000 0.000 0.401
Pt 0.400 0.600 0.200
Pt 0.800 0.600 0.600
Pt 0.800 0.800 0.400
Pt 0.000 0.400 0.800
Pt 0.800 0.400 0.800
Pt 0.400 0.400 0.200
Pt 0.200 0.600 0.000
Pt 0.000 0.600 0.200
Pt 0.600 0.200 0.800
Pt 0.000 0.800 0.400
Pt 0.800 0.400 0.200
Pt 0.200 0.400 0.600
Pt 0.800 0.200 0.200
Pt 0.000 0.600 0.600
Pt 0.800 0.400 0.400
Pt 0.000 0.599 0.000
Pt 0.201 0.799 0.000
Pt 0.200 0.000 0.200
Pt 0.600 0.800 0.600
Sn 0.000 0.000 0.000
CELL_PARAMETERS angstrom
0.000 9.921 9.921
9.921 0.000 9.921
9.921 9.921 0.000
```

---

[17]
DFT (PBE) results for Li2Y2Tl2AgAu after structural relaxation. Values from VASP.

Properties
ρ in Mg/m³: 9.0
Total energy in eV/cell: -30.80

Cell and atoms, written as Quantum ESPRESSO input:
```
&SYSTEM
  ibrav = 0, nat = 8, ntyp = 5
/
ATOMIC_SPECIES
Tl 204.38 Tl.upf
Au 196.97 Au.upf
Li 6.94 Li.upf
Y 88.91 Y.upf
Ag 107.87 Ag.upf
ATOMIC_POSITIONS crystal
Tl 0.500 0.000 0.247
Tl 0.000 0.500 0.753
Au 0.500 0.500 0.500
Li 0.500 0.500 0.000
Li 0.000 0.000 0.500
Y 0.500 0.000 0.746
Y 0.000 0.500 0.254
Ag 0.000 0.000 0.000
CELL_PARAMETERS angstrom
4.898 0.000 0.000
0.000 4.898 0.000
0.000 0.000 6.935
```